# 1
Density functional theory data (SCAN) for a crystal of ScTl2 relaxed with PBEsol.

Cell and atoms, written as POSCAR:
```
ScTl2
1.0
4.4095 0.0000 0.0000
0.0000 6.2695 0.0000
0.0000 0.0000 10.2036
Sc Tl
4 8
Direct
0.7500 0.8588 0.1019
0.2500 0.6412 0.6019
0.7500 0.3588 0.3981
0.2500 0.1412 0.8981
0.7500 0.3880 0.7307
0.2500 0.1120 0.2307
0.7500 0.8880 0.7693
0.2500 0.6120 0.2693
0.7500 0.3594 0.0695
0.2500 0.1406 0.5695
0.7500 0.8594 0.4305
0.2500 0.6406 0.9305
```

## Properties
Formation energy from the elements = -0.74 eV per formula unit


# 2
Density functional theory data (SCAN) for a crystal of YGaS3 relaxed with PBEsol.

Cell and atoms, written as POSCAR:
```
YGaS3
1.0
-1.9452 4.3596 -2.0291
-4.6729 -2.2302 -0.3120
-1.1346 1.7109 4.7637
Y S Ga
1 3 1
Direct
0.0000 0.0000 0.0000
0.0000 0.5000 0.0000
0.0000 0.0000 0.5000
0.5000 0.0000 0.0000
0.5000 0.5000 0.5000
```

## Properties
E_form (uncorrected) = -274.3 kJ/mol of formula units
Energy above the lowest structure with this stoichiometry = 359 meV per atom


# 3
Density functional theory data (SCAN) for a crystal of CrNi5 relaxed with PBEsol.

Cell and atoms, written as POSCAR:
```
CrNi5
1.0
2.4454 0.0000 0.0000
0.0000 3.9933 0.0000
-1.2227 0.0000 6.3962
Cr Ni
1 5
Direct
0.9973 0.0000 0.9947
0.6643 0.0000 0.3287
0.3331 0.0000 0.6662
0.5578 0.5000 0.1157
0.2232 0.5000 0.4465
0.8908 0.5000 0.7817
```

## Properties
Formation energy from the elements = 0.43 eV per formula unit


# 4
Density functional theory data (SCAN) for a crystal of MnZnSbTe2 relaxed with PBEsol.

Cell and atoms, written as POSCAR:
```
MnZnSbTe2
1.0
-0.8431 1.8209 -4.5682
-3.4297 -3.9014 -0.9221
-3.9085 2.9843 1.9109
Sb Zn Te Mn
1 1 2 1
Direct
0.5000 0.0000 0.0000
0.0000 0.0000 0.0000
0.0000 0.0000 0.5000
0.0000 0.5000 0.0000
0.5000 0.5000 0.5000
```

## Properties
E_form (uncorrected) = 272.9 kJ/mol of formula units
Energy above the lowest structure with this stoichiometry = 178 meV per atom


# 5
Density functional theory data (SCAN) for a crystal of TlInTe2 relaxed with PBEsol.

Cell and atoms, written as POSCAR:
```
TlInTe2
1.0
3.0802 0.0000 0.0000
0.0000 6.1932 0.0000
0.0000 0.0000 6.3765
In Te Tl
1 2 1
Direct
0.5000 0.5000 0.8744
0.0000 0.0000 0.8757
0.5000 0.5000 0.3742
0.0000 0.0000 0.3757
```

## Properties
E_form (uncorrected) = -58.0 kJ/mol of formula units


# 6
Density functional theory data (SCAN) for a crystal of Y2HgF2 relaxed with PBEsol.

Cell and atoms, written as POSCAR:
```
Y2HgF2
1.0
3.6312 0.0000 0.0000
0.0000 3.6312 0.0000
-1.8156 -1.8156 6.7461
Y Hg F
2 1 2
Direct
0.3623 0.3623 0.7245
0.6377 0.6377 0.2755
0.0000 0.0000 0.0000
0.2500 0.7500 0.5000
0.7500 0.2500 0.5000
```

## Properties
E_form (uncorrected) = -1293.3 kJ/mol of formula units


# 7
Density functional theory data (SCAN) for a crystal of ZnCd3N relaxed with PBEsol.

Cell and atoms, written as POSCAR:
```
ZnCd3N
1.0
-1.4477 -2.5818 4.0022
4.6525 0.1280 1.7655
-1.0187 4.2540 2.3758
Zn N Cd
1 1 3
Direct
0.0000 0.0000 0.0000
0.5000 0.5000 0.5000
0.0000 0.5000 0.0000
0.0000 0.0000 0.5000
0.5000 0.0000 0.0000
```

## Properties
E_form (uncorrected) = 516.4 kJ/mol of formula units


# 8
Density functional theory data (SCAN) for a crystal of Mg3H2O4 relaxed with PBEsol.

Cell and atoms, written as POSCAR:
```
Mg3H2O4
1.0
-0.7032 2.9590 0.0275
-1.2191 -1.8334 -2.0984
-14.7092 -3.6042 11.6946
H Mg O
4 6 8
Direct
0.3333 0.6667 0.5196
0.6667 0.3333 0.4804
0.3333 0.6667 0.9863
0.6667 0.3333 0.0137
0.0000 0.0000 0.8797
0.0000 0.0000 0.1203
0.6667 0.3333 0.6260
0.3333 0.6667 0.3740
0.3333 0.6667 0.7529
0.6667 0.3333 0.2471
0.3333 0.6667 0.5705
0.6667 0.3333 0.4295
0.0000 0.0000 0.6896
0.0000 0.0000 0.3104
0.6667 0.3333 0.8162
0.3333 0.6667 0.1838
0.3333 0.6667 0.9352
0.6667 0.3333 0.0648
```

## Properties
Energy = -136.2 eV/cell